1.
The following is a PBE-GGA calculation of a geometry-optimized ThMgTlRh structure, from Alexandria.

abc: 5.0678 5.0678 5.0678
angles: 60.00 60.00 60.00
Fractional coordinates of all 4 atoms:
Mg 0.7500 0.7500 0.7500
Tl 0.0000 0.0000 0.0000
Th 0.2500 0.2500 0.2500
Rh 0.5000 0.5000 0.5000

## Properties
The density of states at the Fermi level comes out at 0.516 states/eV/atom. As for the magnetization: 0.0000 μB/atom. As for the final energy: -4.959 eV/atom. The value obtained for the calculated formation energy is -0.276 eV per atom.

2.
The following is a PBE-GGA calculation of a geometry-optimized ThMg2ZnRh4 structure, from Alexandria.

abc: 4.5355 4.5355 7.9467
angles: 73.42 73.42 60.00
Fractional coordinates of all 8 atoms:
Rh 0.6177 0.6177 0.1468
Rh 0.8756 0.8756 0.3731
Rh 0.1244 0.1244 0.6269
Rh 0.3823 0.3823 0.8532
Th 0.0000 0.0000 0.0000
Mg 0.7600 0.7600 0.7200
Mg 0.2400 0.2400 0.2800
Zn 0.5000 0.5000 0.5000

## Properties
The density of states at the Fermi level comes out at 0.245 states/eV/atom. As for the magnetization: 0.0000 μB/atom. As for the final energy: -5.795 eV/atom. The value obtained for the calculated formation energy is -0.634 eV per atom.

3.
The following is a PBE-GGA calculation of a geometry-optimized Mg2TiRh structure, from Alexandria.

abc: 3.8110 3.8110 10.3465
angles: 79.39 79.39 90.00
Fractional coordinates of all 8 atoms:
Ti 0.5000 0.5000 0.0000
Ti 0.2500 0.7500 0.5000
Rh 0.7500 0.2500 0.5000
Rh 0.0000 0.0000 0.0000
Mg 0.8750 0.8840 0.7500
Mg 0.1160 0.6250 0.2500
Mg 0.6340 0.1250 0.2500
Mg 0.3750 0.3660 0.7500

## Properties
The density of states at the Fermi level comes out at 0.682 states/eV/atom. As for the magnetization: 0.0000 μB/atom. As for the excess energy over the best structure of this formula in the dataset: 169 meV per atom. As for the final energy: -4.521 eV/atom. The value obtained for the calculated formation energy is 0.088 eV per atom.

4.
The following is a PBE-GGA calculation of a geometry-optimized MgTi2Rh structure, from Alexandria.

abc: 7.3616 7.3616 5.8653
angles: 51.13 51.13 90.00
Fractional coordinates of all 8 atoms:
Ti 0.0739 0.6250 0.2500
Ti 0.8750 0.9261 0.7500
Ti 0.3750 0.3239 0.7500
Ti 0.6761 0.1250 0.2500
Rh 0.7500 0.2500 0.5000
Rh 0.0000 0.0000 0.0000
Mg 0.5000 0.5000 0.0000
Mg 0.2500 0.7500 0.5000

## Properties
The density of states at the Fermi level comes out at 1.043 states/eV/atom. As for the magnetization: 0.0000 μB/atom. As for the final energy: -6.205 eV/atom. The value obtained for the calculated formation energy is -0.021 eV per atom.

5.
The following is a PBE-GGA calculation of a geometry-optimized Mg2TiRh3 structure, from Alexandria.

abc: 6.9496 6.9496 6.1859
angles: 90.00 90.00 143.05
Fractional coordinates of all 12 atoms:
Rh 0.5000 0.5000 0.7555
Rh 0.1702 0.8298 0.7608
Rh 0.8298 0.1702 0.2392
Rh 0.8298 0.1702 0.7608
Rh 0.5000 0.5000 0.2445
Rh 0.1702 0.8298 0.2392
Mg 0.3336 0.6664 0.5000
Mg 0.0000 0.0000 0.5000
Mg 0.0000 0.0000 0.0000
Mg 0.6664 0.3336 0.5000
Ti 0.6633 0.3367 0.0000
Ti 0.3367 0.6633 0.0000

## Properties
The density of states at the Fermi level comes out at 0.429 states/eV/atom. As for the magnetization: 0.0000 μB/atom. As for the excess energy over the best structure of this formula in the dataset: 0 meV per atom. As for the final energy: -6.249 eV/atom. The value obtained for the calculated formation energy is -0.726 eV per atom.

6.
The following is a PBE-GGA calculation of a geometry-optimized MgTi2Rh structure, from Alexandria.

abc: 3.2086 3.2086 6.5132
angles: 90.00 90.00 90.00
Fractional coordinates of all 4 atoms:
Ti 0.0000 0.0000 0.2229
Ti 0.0000 0.0000 0.7771
Rh 0.5000 0.5000 0.0000
Mg 0.5000 0.5000 0.5000

## Properties
The density of states at the Fermi level comes out at 0.840 states/eV/atom. As for the magnetization: 0.0000 μB/atom. As for the final energy: -6.434 eV/atom. The value obtained for the calculated formation energy is -0.250 eV per atom.